Record 1
Material: Li2AlIr
Method: DFT, PBE
State: relaxed

As for the density of states at the Fermi level: 1.5 states/eV/cell. For the formation energy, the calculation gives -0.451 eV/atom.

a = 5.198 Å, b = 5.198 Å, c = 5.198 Å
α = 147.00°, β = 132.90°, γ = 58.71°
Atoms (fractional coordinates):
Li 0.241 0.241 0.000
Li 0.759 0.759 0.000
Al 0.500 0.000 0.500
Ir 0.000 0.500 0.500

Record 2
Material: CdTcAu
Method: DFT, PBE
State: relaxed

As for the density of states at the Fermi level: 2.4 states/eV/cell. The value obtained for the energy above the most stable polymorph in this dataset is 0.00 eV/f.u. For the formation energy, the calculation gives 0.261 eV/atom.

a = 4.548 Å, b = 4.548 Å, c = 9.610 Å
α = 111.40°, β = 111.40°, γ = 36.88°
Atoms (fractional coordinates):
Cd 0.093 0.093 0.401
Cd 0.907 0.907 0.599
Tc 0.397 0.397 0.062
Tc 0.603 0.603 0.938
Au 0.245 0.245 0.758
Au 0.755 0.755 0.242

Record 3
Material: HoScPd
Method: DFT, PBE
State: relaxed

As for the density of states at the Fermi level: 2.7 states/eV/cell. The value obtained for the energy above the most stable polymorph in this dataset is 0.64 eV/f.u. For the formation energy, the calculation gives -0.418 eV/atom.

a = 4.635 Å, b = 4.635 Å, c = 3.659 Å
α = 90.00°, β = 90.00°, γ = 120.00°
Atoms (fractional coordinates):
Ho 0.000 0.000 0.000
Sc 0.333 0.667 0.528
Pd 0.667 0.333 0.367

Record 4
Material: TaSb2Cl
Method: DFT, PBE
State: relaxed

As for the density of states at the Fermi level: 1.4 states/eV/cell. The value obtained for the energy above the most stable polymorph in this dataset is 0.84 eV/f.u.

a = 3.205 Å, b = 3.205 Å, c = 9.166 Å
α = 90.00°, β = 90.00°, γ = 104.21°
Atoms (fractional coordinates):
Ta 0.000 0.000 0.000
Sb 0.500 0.500 0.233
Sb 0.500 0.500 0.767
Cl 0.000 0.000 0.500

Record 5
Material: YPuMgTl
Method: DFT, PBE
State: relaxed

As for the density of states at the Fermi level: 7.7 states/eV/cell. For the formation energy, the calculation gives -0.058 eV/atom.

a = 5.373 Å, b = 5.373 Å, c = 5.373 Å
α = 60.00°, β = 60.00°, γ = 60.00°
Atoms (fractional coordinates):
Y 0.000 0.000 0.000
Pu 0.500 0.500 0.500
Mg 0.750 0.750 0.750
Tl 0.250 0.250 0.250

Record 6
Material: HgBrCl2
Method: DFT, PBE
State: relaxed

As for the density of states at the Fermi level: 2.4 states/eV/cell. The value obtained for the energy above the most stable polymorph in this dataset is 0.75 eV/f.u.

a = 4.729 Å, b = 4.729 Å, c = 8.365 Å
α = 90.00°, β = 90.00°, γ = 131.29°
Atoms (fractional coordinates):
Hg 0.000 0.000 0.000
Br 0.500 0.500 0.229
Cl 0.000 0.000 0.474
Cl 0.500 0.500 0.797